(1)
A plane-wave DFT calculation with PBE-GGA was carried out for an optimized crystal structure of Sc4CdPt2. Values from VASP.

```
&SYSTEM
  ibrav = 0, nat = 14, ntyp = 3
/
ATOMIC_SPECIES
Sc 44.96 Sc.upf
Cd 112.41 Cd.upf
Pt 195.08 Pt.upf
CELL_PARAMETERS angstrom
-2.8733 -3.3991 -1.7366
3.5900 -1.1713 2.9267
-8.7151 1.5820 11.3232
ATOMIC_POSITIONS crystal
Sc 0.1670 0.8330 0.8699
Sc 0.1670 0.8330 0.6301
Sc 0.8330 0.1670 0.1301
Sc 0.8330 0.1670 0.3699
Sc 0.1662 0.8338 0.2500
Sc 0.8338 0.1662 0.7500
Sc 0.5000 0.5000 0.0000
Sc 0.5000 0.5000 0.5000
Cd 0.4995 0.5005 0.2500
Cd 0.5005 0.4995 0.7500
Pt 0.8335 0.1665 0.5605
Pt 0.1665 0.8335 0.0605
Pt 0.8335 0.1665 0.9395
Pt 0.1665 0.8335 0.4395
```

Results
For the formation energy, the calculation gives -0.793 eV per atom. The value obtained for the energy relative to the lowest polymorph listed for this composition is 0 meV per atom. Its density of states at the Fermi level is 5.06 states/eV/f.u. The space group is Cmcm (63). Its electronic total energy is -6.268 eV per atom.



(2)
A plane-wave DFT calculation with PBE-GGA was carried out for an optimized crystal structure of ScCdPt. Values from VASP.

```
&SYSTEM
  ibrav = 0, nat = 6, ntyp = 3
/
ATOMIC_SPECIES
Sc 44.96 Sc.upf
Cd 112.41 Cd.upf
Pt 195.08 Pt.upf
CELL_PARAMETERS angstrom
4.8087 0.0006 0.0000
-2.4029 4.1653 0.0000
0.0000 0.0000 5.6783
ATOMIC_POSITIONS crystal
Sc 0.6666 0.8334 0.7500
Sc 0.3334 0.1666 0.2500
Cd 0.0000 0.5000 0.0000
Cd 0.0000 0.5000 0.5000
Pt 0.3334 0.1666 0.7500
Pt 0.6666 0.8334 0.2500
```

Results
For the formation energy, the calculation gives -0.823 eV per atom. Its density of states at the Fermi level is 1.63 states/eV/f.u. The space group is P6_3/mmc (194). Its electronic total energy is -5.252 eV per atom.



(3)
A plane-wave DFT calculation with PBE-GGA was carried out for an optimized crystal structure of Sc2CdPt. Values from VASP.

```
&SYSTEM
  ibrav = 0, nat = 4, ntyp = 3
/
ATOMIC_SPECIES
Cd 112.41 Cd.upf
Pt 195.08 Pt.upf
Sc 44.96 Sc.upf
CELL_PARAMETERS angstrom
-1.2771 -3.2592 -4.7175
-2.2893 -5.3791 0.5771
-0.6113 5.7125 1.2258
ATOMIC_POSITIONS crystal
Cd 0.4722 0.4722 0.0000
Pt 0.2407 0.7407 0.5000
Sc 0.0363 0.0363 0.0000
Sc 0.7508 0.2508 0.5000
```

Results
For the formation energy, the calculation gives -0.635 eV per atom. Its density of states at the Fermi level is 2.47 states/eV/f.u. The space group is Imm2 (44). Its electronic total energy is -5.540 eV per atom.



(4)
A plane-wave DFT calculation with PBE-GGA was carried out for an optimized crystal structure of ScCdPt2. Values from VASP.

```
&SYSTEM
  ibrav = 0, nat = 4, ntyp = 3
/
ATOMIC_SPECIES
Sc 44.96 Sc.upf
Pt 195.08 Pt.upf
Cd 112.41 Cd.upf
CELL_PARAMETERS angstrom
5.2247 -0.0190 -0.0203
2.2121 4.7333 0.0203
-3.7071 -2.3750 2.8134
ATOMIC_POSITIONS crystal
Sc 0.5000 0.5000 0.0000
Pt 0.0000 0.0000 0.0000
Pt 0.7500 0.2500 0.5000
Cd 0.2500 0.7500 0.5000
```

Results
For the formation energy, the calculation gives -0.818 eV per atom. Its density of states at the Fermi level is 1.73 states/eV/f.u. The space group is I-4m2 (119). Its electronic total energy is -5.650 eV per atom.



(5)
A plane-wave DFT calculation with PBE-GGA was carried out for an optimized crystal structure of ScCdPt2. Values from VASP.

```
&SYSTEM
  ibrav = 0, nat = 4, ntyp = 3
/
ATOMIC_SPECIES
Cd 112.41 Cd.upf
Pt 195.08 Pt.upf
Sc 44.96 Sc.upf
CELL_PARAMETERS angstrom
4.6507 0.0000 0.0000
2.3254 4.0277 0.0000
2.3254 1.3426 3.7973
ATOMIC_POSITIONS crystal
Cd 0.5000 0.5000 0.5000
Pt 0.0000 0.0000 0.0000
Pt 0.2500 0.2500 0.2500
Sc 0.7500 0.7500 0.7500
```

Results
For the formation energy, the calculation gives -0.610 eV per atom. Its density of states at the Fermi level is 2.18 states/eV/f.u. The space group is F-43m (216). Its electronic total energy is -5.442 eV per atom.



(6)
A plane-wave DFT calculation with PBE-GGA was carried out for an optimized crystal structure of ScCdPt2. Values from VASP.

```
&SYSTEM
  ibrav = 0, nat = 4, ntyp = 3
/
ATOMIC_SPECIES
Cd 112.41 Cd.upf
Pt 195.08 Pt.upf
Sc 44.96 Sc.upf
CELL_PARAMETERS angstrom
3.0895 0.0101 0.0000
-0.0119 3.0895 0.0000
0.0000 0.0000 7.7414
ATOMIC_POSITIONS crystal
Cd 0.5000 0.5000 0.7726
Pt 0.0000 0.0000 0.0093
Pt 0.5000 0.5000 0.2561
Sc 0.0000 0.0000 0.4620
```

Results
For the formation energy, the calculation gives -0.482 eV per atom. Its density of states at the Fermi level is 2.58 states/eV/f.u. The space group is P4mm (99). Its electronic total energy is -5.314 eV per atom.



- Which of these has the highest electronic total energy?
  ScCdPt